No. 1
This record from Alexandria describes an optimized crystal structure of GePd6S2. The functional is PBE.

Lattice parameters (Å, degrees): 7.0930 7.0930 8.0129 123.98 123.98 25.91
Fractional positions:
Ge 0.0000 0.0000 0.0000
Pd 0.0366 0.0366 0.3565
Pd 0.2323 0.2323 0.3398
Pd 0.3609 0.3609 0.0245
Pd 0.6391 0.6391 0.9755
Pd 0.7677 0.7677 0.6602
Pd 0.9634 0.9634 0.6435
S 0.1594 0.1594 0.7179
S 0.8406 0.8406 0.2821

The uncorrected formation energy is -0.208 eV per atom. The space group is C2/m.

No. 2
This record from Alexandria describes an optimized crystal structure of PmGdGaSb. The functional is PBE.

Lattice parameters (Å, degrees): 5.3175 5.3175 5.3175 60.00 60.00 60.00
Fractional positions:
Pm 0.0000 0.0000 0.0000
Gd 0.5000 0.5000 0.5000
Ga 0.2500 0.2500 0.2500
Sb 0.7500 0.7500 0.7500

The uncorrected formation energy is -0.627 eV per atom. The space group is F-43m.

No. 3
This record from Alexandria describes an optimized crystal structure of AlPt2W. The functional is PBE.

Lattice parameters (Å, degrees): 2.7623 4.4990 4.9362 90.00 91.61 90.00
Fractional positions:
Al 0.0000 0.0000 0.0000
Pt 0.5160 0.5000 0.1157
Pt 0.5596 0.0000 0.4711
W 0.0500 0.5000 0.6260

The value obtained for the energy of formation from the pure elements is -468.6 meV/atom. The space group is Pm.